# 1
First-principles (PBE) data for crystalline La2AlCu6Pt at its relaxed geometry, as listed in the Alexandria database.

ΔE_f   -0.2355 eV/atom

Lattice parameters (Å, degrees): 6.4685 6.4215 6.5058 57.62 60.93 90.22
Last column: nearest neighbours and their distance in Å.
Sites, in units of the cell vectors:
La  0.6887  0.0644  0.6240  1 Pt 2.86, 4 Cu 3.10-3.19
La  0.3113  0.9356  0.3760  1 Pt 2.86, 4 Cu 3.10-3.19
Al  0.0000  0.0000  0.0000  6 Cu 2.46-2.48
Cu  0.3331  0.3986  0.4953  1 Al 2.46, 1 Pt 2.52, 5 Cu 2.54-2.71
Cu  0.8350  0.6127  0.0537  1 Al 2.48, 5 Cu 2.51-2.73, 1 Pt 2.52
Cu  0.1148  0.6096  0.2189  1 Al 2.47, 5 Cu 2.51-2.73, 1 Pt 2.52
Cu  0.8852  0.3904  0.7811  1 Al 2.47, 5 Cu 2.51-2.73, 1 Pt 2.52
Cu  0.1650  0.3873  0.9463  1 Al 2.48, 5 Cu 2.51-2.73, 1 Pt 2.52
Cu  0.6669  0.6014  0.5047  1 Al 2.46, 1 Pt 2.52, 5 Cu 2.54-2.71
Pt  0.5000  0.5000  0.0000  6 Cu 2.52

# 2
First-principles (PBE) data for crystalline MgMo2Au2 at its relaxed geometry, as listed in the Alexandria database.

ΔE_f   0.1437 eV/atom

Lattice parameters (Å, degrees): 3.5850 3.5850 7.6622 76.47 76.47 90.00
Last column: nearest neighbours and their distance in Å.
Sites, in units of the cell vectors:
Mo  0.7500  0.2500  0.5000  4 Mo 2.53
Mo  0.2500  0.7500  0.5000  4 Mo 2.53
Au  0.4056  0.4056  0.1888  1 Au 2.73, 4 Mo 2.88, 4 Mg 2.88
Au  0.5944  0.5944  0.8112  1 Au 2.73, 4 Mo 2.88, 4 Mg 2.88
Mg  0.0000  0.0000  0.0000  8 Au 2.88

# 3
First-principles (PBE) data for crystalline Np2CuAs4Pd3 at its relaxed geometry, as listed in the Alexandria database.

ΔE_f   -0.3970 eV/atom

Lattice parameters (Å, degrees): 4.3751 4.3751 9.9283 90.00 90.00 90.00
Last column: nearest neighbours and their distance in Å.
Sites, in units of the cell vectors:
Np  0.5000  0.0000  0.2482  8 As 3.30-3.32, 2 Cu 3.32, 7 Pd 3.32-3.69
Np  0.0000  0.5000  0.7518  8 As 3.30-3.32, 2 Cu 3.32, 7 Pd 3.32-3.69
Cu  0.5000  0.5000  0.5000  4 As 2.55
As  0.5000  0.5000  0.0000  4 Pd 2.51
As  0.0000  0.0000  0.0000  4 Pd 2.51
As  0.5000  0.0000  0.6315  3 Pd 2.43-2.55, 2 Cu 2.55
As  0.0000  0.5000  0.3685  3 Pd 2.43-2.55, 2 Cu 2.55
Pd  0.0000  0.0000  0.5000  4 As 2.55
Pd  0.5000  0.0000  0.8767  5 As 2.43-2.51
Pd  0.0000  0.5000  0.1233  5 As 2.43-2.51

# 4
First-principles (PBE) data for crystalline BaHg3Au at its relaxed geometry, as listed in the Alexandria database.

ΔE_f   -0.3234 eV/atom

Lattice parameters (Å, degrees): 6.0978 7.4124 7.4122 120.00 90.00 90.00
Last column: nearest neighbours and their distance in Å.
Sites, in units of the cell vectors:
Ba  0.7500  0.6667  0.3334  12 Hg 3.55-3.72
Ba  0.2500  0.3333  0.6666  12 Hg 3.55-3.72
Hg  0.7500  0.6153  0.8076  2 Au 2.90, 2 Hg 3.13-3.14
Hg  0.2500  0.8076  0.6153  2 Au 2.90, 2 Hg 3.13-3.14
Hg  0.2500  0.3847  0.1924  2 Au 2.90, 2 Hg 3.13-3.14
Hg  0.7500  0.1924  0.3847  2 Au 2.90, 2 Hg 3.13-3.14
Hg  0.2500  0.8076  0.1923  2 Au 2.90, 2 Hg 3.14
Hg  0.7500  0.1924  0.8077  2 Au 2.90, 2 Hg 3.14
Au  0.0000  0.0000  0.0000  6 Hg 2.90, 2 Au 3.05
Au  0.5000  0.0000  0.0000  6 Hg 2.90, 2 Au 3.05

# 5
First-principles (PBE) data for crystalline InGaHgAu at its relaxed geometry, as listed in the Alexandria database.

ΔE_f   0.0020 eV/atom

Lattice parameters (Å, degrees): 4.9902 4.9902 4.9902 60.00 60.00 60.00
Last column: nearest neighbours and their distance in Å.
Sites, in units of the cell vectors:
Au  0.5000  0.5000  0.5000  4 In 3.06, 4 Ga 3.06
Hg  0.0000  0.0000  0.0000  4 Ga 3.06, 4 In 3.06
Ga  0.2500  0.2500  0.2500  4 Hg 3.06, 4 Au 3.06
In  0.7500  0.7500  0.7500  4 Hg 3.06, 4 Au 3.06

# 6
First-principles (PBE) data for crystalline Ca2MnPt at its relaxed geometry, as listed in the Alexandria database.

ΔE_f   0.0423 eV/atom

Lattice parameters (Å, degrees): 9.0976 9.0976 9.0976 24.16 24.16 24.16
Last column: nearest neighbours and their distance in Å.
Sites, in units of the cell vectors:
Ca  0.0155  0.0155  0.0155  3 Pt 2.84
Ca  0.4845  0.4845  0.4845  3 Pt 2.84
Mn  0.2500  0.2500  0.2500  6 Ca 3.42, 6 Mn 3.81
Pt  0.7500  0.7500  0.7500  6 Ca 2.84

# 7
First-principles (PBE) data for crystalline ZrBe3Ga at its relaxed geometry, as listed in the Alexandria database.

ΔE_f   1.6876 eV/atom

Lattice parameters (Å, degrees): 4.7216 4.7216 4.7216 90.00 90.00 90.00
Last column: nearest neighbours and their distance in Å.
Sites, in units of the cell vectors:
Be  0.0000  0.5000  0.0000  2 Zr 2.36
Be  0.0000  0.0000  0.5000  2 Zr 2.36
Be  0.5000  0.0000  0.0000  2 Zr 2.36
Ga  0.5000  0.5000  0.5000  12 Be 3.34
Zr  0.0000  0.0000  0.0000  6 Be 2.36

# 8
First-principles (PBE) data for crystalline HfNb2In at its relaxed geometry, as listed in the Alexandria database.

ΔE_f   0.0320 eV/atom

Lattice parameters (Å, degrees): 3.5559 3.5559 6.2599 90.00 90.00 90.00
Last column: nearest neighbours and their distance in Å.
Sites, in units of the cell vectors:
Nb  0.0000  0.0000  0.7479  4 Hf 2.95, 4 In 2.97, 2 Nb 3.10-3.16
Nb  0.0000  0.0000  0.2521  4 Hf 2.95, 4 In 2.97, 2 Nb 3.10-3.16
Hf  0.5000  0.5000  0.5000  8 Nb 2.95, 2 In 3.13
In  0.5000  0.5000  0.0000  8 Nb 2.97, 2 Hf 3.13

# 9
First-principles (PBE) data for crystalline SrSeCl2 at its relaxed geometry, as listed in the Alexandria database.

Uncorrected formation energy   -1.292 eV/atom

Lattice parameters (Å, degrees): 5.7573 5.7573 4.9074 65.51 65.51 106.86
Last column: nearest neighbours and their distance in Å.
Sites, in units of the cell vectors:
Sr  0.0000  0.5000  0.5000  4 Cl 2.91
Se  0.5000  0.0000  0.5000  4 Cl 2.91
Cl  0.0000  0.0000  0.0000  2 Se 2.91, 2 Sr 2.91
Cl  0.5000  0.5000  0.0000  2 Sr 2.91, 2 Se 2.91

# 10
First-principles (PBE) data for crystalline YHf2ScO at its relaxed geometry, as listed in the Alexandria database.

Uncorrected formation energy   -1.014 eV/atom

Lattice parameters (Å, degrees): 4.5037 4.5037 4.8762 90.00 90.00 90.00
Last column: nearest neighbours and their distance in Å.
Sites, in units of the cell vectors:
Y  0.0000  0.0000  0.5000  2 O 2.44
Sc  0.5000  0.5000  0.5000  4 Y 3.18, 8 Hf 3.32
Hf  0.0000  0.5000  0.0000  2 O 2.25
Hf  0.5000  0.0000  0.0000  2 O 2.25
O  0.0000  0.0000  0.0000  4 Hf 2.25, 2 Y 2.44

# 11
First-principles (PBE) data for crystalline KSrMgIn at its relaxed geometry, as listed in the Alexandria database.

ΔE_f   -0.0698 eV/atom

Lattice parameters (Å, degrees): 5.6482 5.6482 5.6482 60.00 60.00 60.00
Last column: nearest neighbours and their distance in Å.
Sites, in units of the cell vectors:
Sr  0.5000  0.5000  0.5000  4 In 3.46, 4 K 3.46
K  0.7500  0.7500  0.7500  4 Mg 3.46, 4 Sr 3.46
Mg  0.0000  0.0000  0.0000  4 K 3.46, 4 In 3.46
In  0.2500  0.2500  0.2500  4 Sr 3.46, 4 Mg 3.46

# 12
First-principles (PBE) data for crystalline La2Si2Sb at its relaxed geometry, as listed in the Alexandria database.

Uncorrected formation energy   -0.735 eV/atom

Lattice parameters (Å, degrees): 7.5880 7.5880 4.4435 90.00 90.00 90.00
Last column: nearest neighbours and their distance in Å.
Sites, in units of the cell vectors:
Sb  0.0000  0.0000  0.0000  4 Si 3.07
Sb  0.5000  0.5000  0.0000  4 Si 3.07
Si  0.3888  0.8888  0.0000  1 Si 2.39
Si  0.8888  0.6112  0.0000  1 Si 2.39
Si  0.6112  0.1112  0.0000  1 Si 2.39
Si  0.1112  0.3888  0.0000  1 Si 2.39
La  0.1797  0.6797  0.5000  6 Si 3.16-3.17
La  0.6797  0.8203  0.5000  6 Si 3.16-3.17
La  0.8203  0.3203  0.5000  6 Si 3.16-3.17
La  0.3203  0.1797  0.5000  6 Si 3.16-3.17

no.,DOS at the Fermi energy (states/eV/cell),total DFT energy (no corrections) (eV/cell)
1,5.26,-46.57
2,2.50,-29.09
3,21.62,-68.12
4,5.68,-15.44
5,1.65,-9.34
6,2.86,-19.04
7,2.50,-14.32
8,3.90,-32.70
9,1.06,-14.03
10,4.26,-42.73
11,0.84,-7.39
12,5.11,-56.99